Entry 1:
GGA-PBE TiGaCuAg, optimized geometry; raw total energy = -4.571 eV/atom; space group = F-43m; formation energy = -103 meV per atom
1.0
-4.386 0.578 0.221
-2.423 0.010 -3.709
-2.726 -3.380 -0.873
Cu Ga Ag Ti
1 1 1 1
Direct
0.500 0.500 0.500
0.000 0.000 0.000
0.750 0.750 0.750
0.250 0.250 0.250


Entry 2:
GGA-PBE TaTc2Ru, optimized geometry; raw total energy = -10.481 eV/atom; space group = P4mm; formation energy = -15 meV per atom; E above lowest polymorph = 0.039 eV/atom
1.0
-1.112 1.282 2.608
-1.994 -2.368 0.314
4.363 -3.216 3.440
Ru Ta Tc
1 1 2
Direct
0.000 0.000 0.521
0.500 0.500 0.745
0.000 0.000 0.003
0.500 0.500 0.231


Entry 3:
GGA-PBE Ho2Rh3Pb, optimized geometry; raw total energy = -6.298 eV/atom; space group = C2/c; formation energy = -479 meV per atom
1.0
-2.958 -4.707 -0.049
5.324 -3.325 -2.045
1.819 2.069 6.819
Ho Rh Pb
4 6 2
Direct
0.684 0.583 0.349
0.664 0.083 0.349
0.336 0.917 0.651
0.316 0.417 0.651
0.689 0.250 0.000
0.311 0.750 0.000
0.139 0.080 0.297
0.843 0.420 0.703
0.157 0.580 0.297
0.861 0.920 0.703
0.803 0.750 0.000
0.197 0.250 0.000


Entry 4:
GGA-PBE Co4AgSe8, optimized geometry; raw total energy = -4.798 eV/atom; space group = F-43m; ΔE_f (raw) = -3.2 eV per formula unit
1.0
6.224 0.000 3.593
2.075 5.868 3.593
0.000 0.000 7.186
Co Ag Se
4 1 8
Direct
0.883 0.372 0.372
0.372 0.883 0.372
0.372 0.372 0.883
0.372 0.372 0.372
0.750 0.750 0.750
0.582 0.139 0.139
0.139 0.582 0.139
0.139 0.139 0.582
0.139 0.139 0.139
0.179 0.607 0.607
0.607 0.179 0.607
0.607 0.607 0.179
0.607 0.607 0.607


Repeat the third record exactly.
GGA-PBE Ho2Rh3Pb, optimized geometry; raw total energy = -6.298 eV/atom; space group = C2/c; formation energy = -479 meV per atom
1.0
-2.958 -4.707 -0.049
5.324 -3.325 -2.045
1.819 2.069 6.819
Ho Rh Pb
4 6 2
Direct
0.684 0.583 0.349
0.664 0.083 0.349
0.336 0.917 0.651
0.316 0.417 0.651
0.689 0.250 0.000
0.311 0.750 0.000
0.139 0.080 0.297
0.843 0.420 0.703
0.157 0.580 0.297
0.861 0.920 0.703
0.803 0.750 0.000
0.197 0.250 0.000